Compound: GePd3Au
Source: Alexandria via LeMat-Bulk
Functional: GGA-PBEsol
Structure: relaxed

Geometry as POSCAR:
```
GePd3Au
1.0
-3.453 -2.036 -2.095
1.650 -4.036 1.202
-2.411 0.153 3.824
Ge Au Pd
1 1 3
Direct
0.000 0.000 0.000
0.500 0.500 0.500
0.000 0.500 0.000
0.000 0.000 0.500
0.500 0.000 0.000
```

## Properties
Space-group type: Pm-3m
Formation energy (meV per atom): 338